Entry 1:
Computed, not measured: a geometry-optimized CeGd2Be structure at the PBE-GGA level of DFT.

Summary:
The calculation puts the energy of formation from the pure elements at 0.114 eV/atom. The offset from the most stable computed form comes out at 0.0 meV/atom.

```
data_CeGd2Be
_cell_length_a 3.4476
_cell_length_b 3.4476
_cell_length_c 8.6444
_cell_angle_alpha 90.00
_cell_angle_beta 90.00
_cell_angle_gamma 90.00
_symmetry_space_group_name_H-M 'P 4/m m m'
_symmetry_Int_Tables_number 123
_symmetry_space_group_name_Hall '-P 4 2'
loop_
_atom_site_label
_atom_site_type_symbol
_atom_site_fract_x
_atom_site_fract_y
_atom_site_fract_z
Ce1 Ce 0.0000 0.0000 0.0000
Gd1 Gd 0.5000 0.5000 0.3063
Be1 Be 0.0000 0.0000 0.5000
```

***

Entry 2:
Computed, not measured: a geometry-optimized In2Tc2Pb structure at the PBE-GGA level of DFT.

Summary:
The calculation puts the energy of formation from the pure elements at 0.385 eV/atom.

```
data_In2Tc2Pb
_cell_length_a 7.2571
_cell_length_b 7.2571
_cell_length_c 3.7840
_cell_angle_alpha 90.00
_cell_angle_beta 90.00
_cell_angle_gamma 90.00
_symmetry_space_group_name_H-M 'P 4/m b m'
_symmetry_Int_Tables_number 127
_symmetry_space_group_name_Hall '-P 4 2ab'
loop_
_atom_site_label
_atom_site_type_symbol
_atom_site_fract_x
_atom_site_fract_y
_atom_site_fract_z
In1 In 0.1509 0.3491 0.0000
Tc1 Tc 0.1457 0.6457 0.5000
Pb1 Pb 0.0000 0.0000 0.5000
```

***

Entry 3:
Computed, not measured: a geometry-optimized CePm2ErSb5 structure at the PBE-GGA level of DFT.

Summary:
Its total energy is -43.34 eV per cell.

```
data_CePm2ErSb5
_cell_length_a 5.2530
_cell_length_b 5.2530
_cell_length_c 11.7433
_cell_angle_alpha 90.00
_cell_angle_beta 90.00
_cell_angle_gamma 90.00
_symmetry_space_group_name_H-M 'P 4/m m m'
_symmetry_Int_Tables_number 123
_symmetry_space_group_name_Hall '-P 4 2'
loop_
_atom_site_label
_atom_site_type_symbol
_atom_site_fract_x
_atom_site_fract_y
_atom_site_fract_z
Ce1 Ce 0.0000 0.0000 0.0000
Pm1 Pm 0.5000 0.5000 0.2787
Er1 Er 0.0000 0.0000 0.5000
Sb1 Sb 0.0000 0.0000 0.2488
Sb2 Sb 0.0000 0.5000 0.5000
Sb3 Sb 0.5000 0.5000 0.0000
```

***

Entry 4:
Computed, not measured: a geometry-optimized Ac2GeRu structure at the PBE-GGA level of DFT.

Summary:
The calculation puts the energy of formation from the pure elements at -0.195 eV/atom.

```
data_Ac2GeRu
_cell_length_a 3.6425
_cell_length_b 3.6425
_cell_length_c 8.3457
_cell_angle_alpha 90.00
_cell_angle_beta 90.00
_cell_angle_gamma 90.00
_symmetry_space_group_name_H-M 'P 4/m m m'
_symmetry_Int_Tables_number 123
_symmetry_space_group_name_Hall '-P 4 2'
loop_
_atom_site_label
_atom_site_type_symbol
_atom_site_fract_x
_atom_site_fract_y
_atom_site_fract_z
Ac1 Ac 0.0000 0.0000 0.2246
Ge1 Ge 0.5000 0.5000 0.5000
Ru1 Ru 0.5000 0.5000 0.0000
```

***

Entry 5:
Computed, not measured: a geometry-optimized CrCo2Os structure at the PBE-GGA level of DFT.

Summary:
The calculation puts the energy of formation from the pure elements at 0.221 eV/atom. The offset from the most stable computed form comes out at 209.6 meV/atom.

```
data_CrCo2Os
_cell_length_a 5.7707
_cell_length_b 5.7707
_cell_length_c 5.7707
_cell_angle_alpha 90.00
_cell_angle_beta 90.00
_cell_angle_gamma 90.00
_symmetry_space_group_name_H-M 'F -4 3 m'
_symmetry_Int_Tables_number 216
_symmetry_space_group_name_Hall 'F -4 2 3'
loop_
_atom_site_label
_atom_site_type_symbol
_atom_site_fract_x
_atom_site_fract_y
_atom_site_fract_z
Cr1 Cr 0.0000 0.0000 0.0000
Co1 Co 0.0000 0.0000 0.5000
Co2 Co 0.2500 0.2500 0.7500
Os1 Os 0.2500 0.2500 0.2500
```

***

Entry 6:
Computed, not measured: a geometry-optimized CdInAg2 structure at the PBE-GGA level of DFT.

Summary:
The calculation puts the energy of formation from the pure elements at -0.001 eV/atom.

```
data_CdInAg2
_cell_length_a 6.3278
_cell_length_b 8.2332
_cell_length_c 3.0955
_cell_angle_alpha 90.00
_cell_angle_beta 91.10
_cell_angle_gamma 90.00
_symmetry_space_group_name_H-M 'C 1 2/m 1'
_symmetry_Int_Tables_number 12
_symmetry_space_group_name_Hall '-C 2y'
loop_
_atom_site_label
_atom_site_type_symbol
_atom_site_fract_x
_atom_site_fract_y
_atom_site_fract_z
Cd1 Cd 0.0000 0.0000 0.0000
In1 In 0.0000 0.5000 0.0000
Ag1 Ag 0.2500 0.2500 0.5000
```

***

Entry 7:
Computed, not measured: a geometry-optimized Y4TmZr structure at the PBE-GGA level of DFT.

Summary:
The calculation puts the energy of formation from the pure elements at 0.065 eV/atom.

```
data_Y4TmZr
_cell_length_a 6.0502
_cell_length_b 3.4897
_cell_length_c 17.1714
_cell_angle_alpha 90.00
_cell_angle_beta 96.78
_cell_angle_gamma 90.00
_symmetry_space_group_name_H-M 'C 1 2/m 1'
_symmetry_Int_Tables_number 12
_symmetry_space_group_name_Hall '-C 2y'
loop_
_atom_site_label
_atom_site_type_symbol
_atom_site_fract_x
_atom_site_fract_y
_atom_site_fract_z
Y1 Y 0.1155 0.0000 0.3446
Y2 Y 0.2224 0.5000 0.1674
Tm1 Tm 0.0000 0.0000 0.0000
Zr1 Zr 0.0000 0.5000 0.5000
```

***

Entry 8:
Computed, not measured: a geometry-optimized KRb2CdAg structure at the PBE-GGA level of DFT.

Summary:
The calculation puts the energy of formation from the pure elements at 0.067 eV/atom. The offset from the most stable computed form comes out at 6.6 meV/atom.

```
data_KRb2CdAg
_cell_length_a 5.1051
_cell_length_b 6.5250
_cell_length_c 16.2860
_cell_angle_alpha 90.00
_cell_angle_beta 90.00
_cell_angle_gamma 90.00
_symmetry_space_group_name_H-M 'I m m 2'
_symmetry_Int_Tables_number 44
_symmetry_space_group_name_Hall 'I 2 -2'
loop_
_atom_site_label
_atom_site_type_symbol
_atom_site_fract_x
_atom_site_fract_y
_atom_site_fract_z
K1 K 0.0000 0.0000 0.0000
Rb1 Rb 0.0000 0.0000 0.2730
Rb2 Rb 0.0000 0.0000 0.5535
Cd1 Cd 0.0000 0.0000 0.7844
Ag1 Ag 0.0000 0.5000 0.3626
```

***

Entry 9:
Computed, not measured: a geometry-optimized GaAgSbOsPt structure at the PBE-GGA level of DFT.

Summary:
The offset from the most stable computed form comes out at 0.0 meV/atom.

```
data_GaAgSbOsPt
_cell_length_a 3.0857
_cell_length_b 3.0857
_cell_length_c 9.4686
_cell_angle_alpha 90.00
_cell_angle_beta 90.00
_cell_angle_gamma 90.00
_symmetry_space_group_name_H-M 'P 4 m m'
_symmetry_Int_Tables_number 99
_symmetry_space_group_name_Hall 'P 4 -2'
loop_
_atom_site_label
_atom_site_type_symbol
_atom_site_fract_x
_atom_site_fract_y
_atom_site_fract_z
Ga1 Ga 0.0000 0.0000 0.0000
Ag1 Ag 0.0000 0.0000 0.3600
Sb1 Sb 0.0000 0.0000 0.6566
Os1 Os 0.5000 0.5000 0.8307
Pt1 Pt 0.5000 0.5000 0.1534
```

***

Entry 10:
Computed, not measured: a geometry-optimized K2Zn3Ag2 structure at the PBE-GGA level of DFT.

Summary:
The calculation puts the energy of formation from the pure elements at -0.030 eV/atom.

```
data_K2Zn3Ag2
_cell_length_a 12.5514
_cell_length_b 4.5088
_cell_length_c 7.9832
_cell_angle_alpha 90.00
_cell_angle_beta 124.16
_cell_angle_gamma 90.00
_symmetry_space_group_name_H-M 'C 1 2/m 1'
_symmetry_Int_Tables_number 12
_symmetry_space_group_name_Hall '-C 2y'
loop_
_atom_site_label
_atom_site_type_symbol
_atom_site_fract_x
_atom_site_fract_y
_atom_site_fract_z
K1 K 0.1341 0.0000 0.2604
Zn1 Zn 0.0000 0.5000 0.5000
Zn2 Zn 0.1774 0.5000 0.9163
Ag1 Ag 0.1186 0.0000 0.6991
```

***

Entry 11:
Computed, not measured: a geometry-optimized HgBr2 structure at the PBE-GGA level of DFT.

Summary:
Its total energy is -18.79 eV per cell.

```
data_HgBr2
_cell_length_a 3.9352
_cell_length_b 14.6766
_cell_length_c 8.2622
_cell_angle_alpha 90.00
_cell_angle_beta 90.00
_cell_angle_gamma 90.00
_symmetry_space_group_name_H-M 'C m c m'
_symmetry_Int_Tables_number 63
_symmetry_space_group_name_Hall '-C 2c 2'
loop_
_atom_site_label
_atom_site_type_symbol
_atom_site_fract_x
_atom_site_fract_y
_atom_site_fract_z
Hg1 Hg 0.0000 0.0986 0.2500
Br1 Br 0.0000 0.2737 0.7500
Br2 Br 0.0000 0.4689 0.2500
```

***

Entry 12:
Computed, not measured: a geometry-optimized TiSeN2F structure at the PBE-GGA level of DFT.

Summary:
The offset from the most stable computed form comes out at 1602.7 meV/atom.

```
data_TiSeN2F
_cell_length_a 3.9768
_cell_length_b 3.9768
_cell_length_c 3.9197
_cell_angle_alpha 90.00
_cell_angle_beta 90.00
_cell_angle_gamma 90.00
_symmetry_space_group_name_H-M 'P 4/m m m'
_symmetry_Int_Tables_number 123
_symmetry_space_group_name_Hall '-P 4 2'
loop_
_atom_site_label
_atom_site_type_symbol
_atom_site_fract_x
_atom_site_fract_y
_atom_site_fract_z
Ti1 Ti 0.0000 0.0000 0.0000
Se1 Se 0.5000 0.5000 0.0000
N1 N 0.0000 0.5000 0.5000
F1 F 0.5000 0.5000 0.5000
```

***

Entry 13:
Computed, not measured: a geometry-optimized Pr4CBr2 structure at the PBE-GGA level of DFT.

Summary:
Its total energy is -70.19 eV per cell.

```
data_Pr4CBr2
_cell_length_a 5.3361
_cell_length_b 5.3361
_cell_length_c 14.4592
_cell_angle_alpha 90.00
_cell_angle_beta 90.00
_cell_angle_gamma 90.00
_symmetry_space_group_name_H-M 'I 4/m m m'
_symmetry_Int_Tables_number 139
_symmetry_space_group_name_Hall '-I 4 2'
loop_
_atom_site_label
_atom_site_type_symbol
_atom_site_fract_x
_atom_site_fract_y
_atom_site_fract_z
Pr1 Pr 0.0000 0.0000 0.1745
Pr2 Pr 0.0000 0.5000 0.0000
C1 C 0.0000 0.0000 0.0000
Br1 Br 0.0000 0.0000 0.3876
```

***

Entry 14:
Computed, not measured: a geometry-optimized SrY4Sb structure at the PBE-GGA level of DFT.

Summary:
Its total energy is -122.69 eV per cell.

```
data_SrY4Sb
_cell_length_a 9.4153
_cell_length_b 9.4153
_cell_length_c 9.4153
_cell_angle_alpha 90.00
_cell_angle_beta 90.00
_cell_angle_gamma 90.00
_symmetry_space_group_name_H-M 'F -4 3 m'
_symmetry_Int_Tables_number 216
_symmetry_space_group_name_Hall 'F -4 2 3'
loop_
_atom_site_label
_atom_site_type_symbol
_atom_site_fract_x
_atom_site_fract_y
_atom_site_fract_z
Sr1 Sr 0.0000 0.0000 0.0000
Y1 Y 0.1252 0.1252 0.6252
Sb1 Sb 0.2500 0.2500 0.2500
```

***

Entry 15:
Computed, not measured: a geometry-optimized PrEr5Tm7 structure at the PBE-GGA level of DFT.

Summary:
The calculation puts the energy of formation from the pure elements at 0.256 eV/atom.

```
data_PrEr5Tm7
_cell_length_a 6.6470
_cell_length_b 10.9553
_cell_length_c 11.4429
_cell_angle_alpha 90.00
_cell_angle_beta 90.00
_cell_angle_gamma 90.00
_symmetry_space_group_name_H-M 'I m m 2'
_symmetry_Int_Tables_number 44
_symmetry_space_group_name_Hall 'I 2 -2'
loop_
_atom_site_label
_atom_site_type_symbol
_atom_site_fract_x
_atom_site_fract_y
_atom_site_fract_z
Pr1 Pr 0.0000 0.0000 0.0000
Er1 Er 0.0000 0.5000 0.8008
Er2 Er 0.2338 0.2292 0.7986
Tm1 Tm 0.0000 0.0000 0.3037
Tm2 Tm 0.0000 0.0000 0.6097
Tm3 Tm 0.0000 0.3302 0.0503
Tm4 Tm 0.0000 0.3297 0.5486
Tm5 Tm 0.0000 0.5000 0.2964
```

***

Entry 16:
Computed, not measured: a geometry-optimized TmTaIrOs structure at the PBE-GGA level of DFT.

Summary:
The calculation puts the energy of formation from the pure elements at -0.405 eV/atom.

```
data_TmTaIrOs
_cell_length_a 6.5465
_cell_length_b 6.5465
_cell_length_c 6.5465
_cell_angle_alpha 90.00
_cell_angle_beta 90.00
_cell_angle_gamma 90.00
_symmetry_space_group_name_H-M 'F -4 3 m'
_symmetry_Int_Tables_number 216
_symmetry_space_group_name_Hall 'F -4 2 3'
loop_
_atom_site_label
_atom_site_type_symbol
_atom_site_fract_x
_atom_site_fract_y
_atom_site_fract_z
Tm1 Tm 0.0000 0.0000 0.0000
Ta1 Ta 0.0000 0.0000 0.5000
Ir1 Ir 0.2500 0.2500 0.7500
Os1 Os 0.2500 0.2500 0.2500
```

***

Entry 17:
Computed, not measured: a geometry-optimized Tc5Sb4 structure at the PBE-GGA level of DFT.

Summary:
The offset from the most stable computed form comes out at 0.0 meV/atom.

```
data_Tc5Sb4
_cell_length_a 10.1557
_cell_length_b 10.1557
_cell_length_c 3.3376
_cell_angle_alpha 90.00
_cell_angle_beta 90.00
_cell_angle_gamma 90.00
_symmetry_space_group_name_H-M 'I 4/m m m'
_symmetry_Int_Tables_number 139
_symmetry_space_group_name_Hall '-I 4 2'
loop_
_atom_site_label
_atom_site_type_symbol
_atom_site_fract_x
_atom_site_fract_y
_atom_site_fract_z
Tc1 Tc 0.0000 0.0000 0.0000
Tc2 Tc 0.1507 0.1507 0.5000
Sb1 Sb 0.0000 0.2993 0.0000
```

***

Entry 18:
Computed, not measured: a geometry-optimized AcCdAu structure at the PBE-GGA level of DFT.

Summary:
The calculation puts the energy of formation from the pure elements at -0.532 eV/atom. The offset from the most stable computed form comes out at 122.2 meV/atom.

```
data_AcCdAu
_cell_length_a 5.0452
_cell_length_b 5.9164
_cell_length_c 6.4122
_cell_angle_alpha 90.00
_cell_angle_beta 113.24
_cell_angle_gamma 90.00
_symmetry_space_group_name_H-M 'P 1 21/m 1'
_symmetry_Int_Tables_number 11
_symmetry_space_group_name_Hall '-P 2yb'
loop_
_atom_site_label
_atom_site_type_symbol
_atom_site_fract_x
_atom_site_fract_y
_atom_site_fract_z
Ac1 Ac 0.0844 0.2500 0.2548
Cd1 Cd 0.3919 0.2500 0.8498
Au1 Au 0.2378 0.7500 0.3899
```

***

Entry 19:
Computed, not measured: a geometry-optimized Sc2Ir2Rh structure at the PBE-GGA level of DFT.

Summary:
The calculation puts the energy of formation from the pure elements at -0.653 eV/atom.

```
data_Sc2Ir2Rh
_cell_length_a 6.7415
_cell_length_b 6.7415
_cell_length_c 3.9100
_cell_angle_alpha 90.00
_cell_angle_beta 90.00
_cell_angle_gamma 90.00
_symmetry_space_group_name_H-M 'P 4/m b m'
_symmetry_Int_Tables_number 127
_symmetry_space_group_name_Hall '-P 4 2ab'
loop_
_atom_site_label
_atom_site_type_symbol
_atom_site_fract_x
_atom_site_fract_y
_atom_site_fract_z
Sc1 Sc 0.1786 0.3214 0.0000
Ir1 Ir 0.1306 0.6306 0.5000
Rh1 Rh 0.0000 0.0000 0.5000
```

***

Entry 20:
Computed, not measured: a geometry-optimized Ga2AgPd structure at the PBE-GGA level of DFT.

Summary:
The calculation puts the energy of formation from the pure elements at -0.250 eV/atom. The offset from the most stable computed form comes out at 2.3 meV/atom.

```
data_Ga2AgPd
_cell_length_a 2.9770
_cell_length_b 2.9770
_cell_length_c 25.9507
_cell_angle_alpha 90.00
_cell_angle_beta 90.00
_cell_angle_gamma 120.00
_symmetry_space_group_name_H-M 'R -3 m'
_symmetry_Int_Tables_number 166
_symmetry_space_group_name_Hall '-R 3 2"'
loop_
_atom_site_label
_atom_site_type_symbol
_atom_site_fract_x
_atom_site_fract_y
_atom_site_fract_z
Ga1 Ga 0.0000 0.0000 0.2446
Ag1 Ag 0.0000 0.0000 0.0000
Pd1 Pd 0.0000 0.0000 0.5000
```